Density functional theory data (PBEsol) for LaTlCd2 after structural relaxation.

## Properties
Calculated volume (Å³/cell): 102
Spin magnetization (μB per formula unit): 0.0
Space-group type: I4/mmm, No. 139
DFT total energy (eV/atom): -2.87
Formation energy (meV/atom): -274.3

a b c (Å): 4.902 4.902 5.482
angles (deg): 116.56 116.56 90.00
Positions (direct):
La 0.000 0.000 0.000
Tl 0.500 0.500 0.000
Cd 0.750 0.250 0.500
Cd 0.250 0.750 0.500